Density functional theory data (PBE-GGA) for La2TbCdN after structural relaxation.

Cell lengths 4.8426, 5.1633, 5.1633 Å; angles 90.00, 90.00, 90.00 degrees
Closest atoms and distances in Å follow each position.
Fractional positions:
La (0.0000, 0.5000, 0.0000)  2 N 2.58
La (0.0000, 0.0000, 0.5000)  2 N 2.58
Cd (0.5000, 0.5000, 0.5000)  8 La 3.54, 4 Tb 3.65
Tb (0.5000, 0.0000, 0.0000)  2 N 2.42
N (0.0000, 0.0000, 0.0000)  2 Tb 2.42, 4 La 2.58

Summary:
- crystal system = tetragonal
- VASP energy (eV for the cell shown) = -27.45
- D(E_F) (states/eV/atom) = 0.9785